Computed, not measured: LiFePb2F after structural relaxation at the PBE+U level of DFT.

Cell: 5.431 3.977 5.431 Å, 90.00 90.00 90.00°
Last column: magnetic moment on the atom in μB.
Positions (direct):
F (0.000, 0.000, 0.000)  0.04
Li (0.500, 0.500, 0.500)  0.01
Pb (0.000, 0.000, 0.500)  -0.01
Fe (0.000, 0.500, 0.000)  3.65
Pb (0.500, 0.000, 0.000)  -0.04

For the total energy, the calculation gives -0.25565 Ry per atom. As for the total magnetic moment: 3.56 Bohr magnetons per cell.